Record 1
16
Lattice="10.069 0.000 0.000 0.000 10.069 0.000 0.000 0.000 3.101" Properties=species:S:1:pos:R:3 comment="MnSn (PBE, relaxed)" formation_energy_ev_per_fu=0.50 spacegroup="P4/m, No. 83" total_magnetization_mub_per_cell=26.69 pbc="T T T"
Mn 0.305 6.550 0.000
Mn 1.563 4.721 1.550
Mn 3.519 0.305 0.000
Mn 4.721 8.505 1.550
Mn 5.348 1.563 1.550
Mn 6.550 9.763 0.000
Mn 8.505 5.348 1.550
Mn 9.763 3.519 0.000
Sn 1.359 1.750 1.550
Sn 1.750 8.709 1.550
Sn 3.285 6.397 0.000
Sn 3.672 3.285 0.000
Sn 6.397 6.784 0.000
Sn 6.784 3.672 0.000
Sn 8.318 1.359 1.550
Sn 8.709 8.318 1.550

=====

Record 2
10
Lattice="4.409 0.000 0.000 0.000 4.409 0.000 0.000 0.000 14.724" Properties=species:S:1:pos:R:3 comment="In2AgSb2 (PBE, relaxed)" e_form_raw_ev_per_atom=0.2708 spacegroup="I4/mmm, No. 139" total_magnetization_mub_per_cell=0.00 de_polymorph_ev_per_atom=0.173 pbc="T T T"
In 0.000 2.205 3.681
In 0.000 2.205 11.043
In 2.205 0.000 3.681
In 2.205 0.000 11.043
Ag 0.000 0.000 0.000
Ag 2.205 2.205 7.362
Sb 0.000 0.000 5.872
Sb 0.000 0.000 8.852
Sb 2.205 2.205 1.490
Sb 2.205 2.205 13.234

=====

Ρ list, top to bottom, in g/cm3: 7.3; 6.7